# 1
# Nb3SbRu | Alexandria | PBE-GGA | relaxed
# - Energy relative to the elements, uncorrected: 1.87 eV per atom
# - Energy above the most stable polymorph in this dataset: 1084 meV/atom
# - Calculated volume: 24.12 Å³ per atom
# - Energy: -34.26 eV for the cell shown
data_Nb3SbRu
_chemical_formula_sum 'Nb3 Sb1 Ru1'
_cell_length_a 4.941
_cell_length_b 4.941
_cell_length_c 4.941
_cell_angle_alpha 90.00
_cell_angle_beta 90.00
_cell_angle_gamma 90.00
_symmetry_space_group_name_H-M 'P m -3 m'
_symmetry_Int_Tables_number 221
_symmetry_space_group_name_Hall '-P 4 2 3'
loop_
_atom_site_label
_atom_site_type_symbol
_atom_site_fract_x
_atom_site_fract_y
_atom_site_fract_z
_atom_site_occupancy
Nb1 Nb 0.000 0.000 0.500 1
Sb1 Sb 0.000 0.000 0.000 1
Ru1 Ru 0.500 0.500 0.500 1

=====

# 2
# NbTc2SbRu | Alexandria | PBE-GGA | relaxed
# - Energy relative to the elements, uncorrected: 1.44 eV per atom
# - Calculated volume: 20.83 Å³ per atom
# - Energy: -37.00 eV for the cell shown
data_NbTc2SbRu
_chemical_formula_sum 'Nb1 Tc2 Sb1 Ru1'
_cell_length_a 4.622
_cell_length_b 4.622
_cell_length_c 4.875
_cell_angle_alpha 90.00
_cell_angle_beta 90.00
_cell_angle_gamma 90.00
_symmetry_space_group_name_H-M 'P 4/m m m'
_symmetry_Int_Tables_number 123
_symmetry_space_group_name_Hall '-P 4 2'
loop_
_atom_site_label
_atom_site_type_symbol
_atom_site_fract_x
_atom_site_fract_y
_atom_site_fract_z
_atom_site_occupancy
Nb1 Nb 0.000 0.000 0.000 1
Tc1 Tc 0.000 0.500 0.500 1
Sb1 Sb 0.500 0.500 0.000 1
Ru1 Ru 0.500 0.500 0.500 1